No. 1
Computed, not measured: crystalline DyH4Rh3 at its relaxed geometry at the PBE-GGA level of DFT.

a = 5.388 Å, b = 5.388 Å, c = 5.388 Å
α = 90.00°, β = 90.00°, γ = 90.00°
Positions (direct):
Dy 0.000 0.000 0.000
Dy 0.500 0.500 0.500
H 0.250 0.250 0.250
H 0.250 0.750 0.250
H 0.250 0.250 0.750
H 0.250 0.750 0.750
H 0.750 0.250 0.250
H 0.750 0.250 0.750
H 0.750 0.750 0.250
H 0.750 0.750 0.750
Rh 0.000 0.500 0.250
Rh 0.000 0.500 0.750
Rh 0.250 0.000 0.500
Rh 0.500 0.250 0.000
Rh 0.500 0.750 0.000
Rh 0.750 0.000 0.500

Calculated values
calculated volume = 9.8 Å³ per atom
crystal system = cubic
density = 10.1 Mg/m³
calculated total energy = -42.57 eV per formula unit

=====

No. 2
Computed, not measured: crystalline DyH11Rh5 at its relaxed geometry at the PBE-GGA level of DFT.

a = 5.380 Å, b = 5.339 Å, c = 5.339 Å
α = 93.53°, β = 103.41°, γ = 103.41°
Positions (direct):
Dy 0.000 0.000 0.000
H 0.317 0.695 0.695
H 0.683 0.305 0.305
H 0.646 0.157 0.666
H 0.354 0.843 0.334
H 0.354 0.334 0.843
H 0.646 0.666 0.157
H 0.500 0.000 0.000
H 0.937 0.817 0.550
H 0.063 0.183 0.450
H 0.063 0.450 0.183
H 0.937 0.550 0.817
Rh 0.709 0.978 0.372
Rh 0.291 0.022 0.628
Rh 0.291 0.628 0.022
Rh 0.709 0.372 0.978
Rh 0.000 0.500 0.500

Calculated values
calculated volume = 8.5 Å³ per atom
crystal system = monoclinic
density = 7.9 Mg/m³
calculated total energy = -79.72 eV per formula unit

=====

No. 3
Computed, not measured: crystalline DyH8Rh2 at its relaxed geometry at the PBE-GGA level of DFT.

a = 3.643 Å, b = 5.490 Å, c = 5.485 Å
α = 59.97°, β = 90.00°, γ = 90.00°
Positions (direct):
Dy 0.500 0.000 0.000
H 0.000 0.131 0.259
H 0.000 0.389 0.741
H 0.394 0.500 0.000
H 0.500 0.762 0.476
H 0.500 0.238 0.524
H 0.606 0.500 0.000
H 0.000 0.611 0.259
H 0.000 0.869 0.741
Rh 0.000 0.231 0.538
Rh 0.000 0.769 0.462

Calculated values
calculated volume = 8.6 Å³ per atom
crystal system = orthorhombic
density = 6.6 Mg/m³
calculated total energy = -48.45 eV per formula unit

=====

No. 4
Computed, not measured: crystalline Dy2H8Rh at its relaxed geometry at the PBE-GGA level of DFT.

a = 3.624 Å, b = 4.218 Å, c = 6.829 Å
α = 107.88°, β = 105.39°, γ = 90.00°
Positions (direct):
Dy 0.853 0.353 0.705
Dy 0.147 0.647 0.295
H 0.390 0.652 0.779
H 0.611 0.875 0.222
H 0.764 0.764 0.528
H 0.000 0.222 0.000
H 0.236 0.236 0.472
H 0.389 0.125 0.778
H 0.610 0.348 0.221
H 0.000 0.778 0.000
Rh 0.500 0.000 0.000

Calculated values
calculated volume = 8.7 Å³ per atom
crystal system = monoclinic
density = 7.6 Mg/m³
calculated total energy = -47.58 eV per formula unit

=====

No. 5
Computed, not measured: crystalline DyH7Rh2 at its relaxed geometry at the PBE-GGA level of DFT.

a = 3.604 Å, b = 5.043 Å, c = 5.043 Å
α = 114.76°, β = 90.00°, γ = 90.00°
Positions (direct):
Dy 0.000 0.000 0.000
H 0.000 0.699 0.301
H 0.000 0.301 0.699
H 0.500 0.058 0.323
H 0.500 0.942 0.677
H 0.500 0.323 0.058
H 0.500 0.677 0.942
H 0.500 0.500 0.500
Rh 0.500 0.699 0.301
Rh 0.500 0.301 0.699

Calculated values
calculated volume = 8.3 Å³ per atom
crystal system = orthorhombic
density = 7.5 Mg/m³
calculated total energy = -45.66 eV per formula unit

=====

No. 6
Computed, not measured: crystalline Dy12H5Rh3 at its relaxed geometry at the PBE-GGA level of DFT.

a = 13.026 Å, b = 13.026 Å, c = 13.026 Å
α = 109.47°, β = 109.47°, γ = 109.47°
Positions (direct):
H 0.125 0.375 0.250
H 0.000 0.500 0.000
H 0.000 0.000 0.000
H 0.375 0.250 0.125
H 0.500 0.000 0.500
H 0.500 0.500 0.000
H 0.125 0.750 0.375
H 0.750 0.125 0.875
H 0.750 0.625 0.375
H 0.375 0.125 0.750
H 0.625 0.875 0.250
H 0.500 0.500 0.500
H 0.500 0.000 0.000
H 0.000 0.000 0.500
H 0.250 0.375 0.625
H 0.250 0.875 0.125
H 0.000 0.500 0.500
H 0.875 0.250 0.625
H 0.625 0.750 0.875
H 0.875 0.625 0.750
Rh 0.750 0.375 0.125
Rh 0.875 0.750 0.125
Rh 0.375 0.750 0.625
Rh 0.250 0.125 0.375
Rh 0.875 0.125 0.250
Rh 0.375 0.625 0.250
Rh 0.625 0.375 0.750
Rh 0.125 0.875 0.750
Rh 0.750 0.875 0.625
Rh 0.625 0.250 0.375
Rh 0.125 0.250 0.875
Rh 0.250 0.625 0.875
Dy 0.716 0.120 0.026
Dy 0.310 0.526 0.406
Dy 0.974 0.380 0.284
Dy 0.526 0.216 0.120
Dy 0.596 0.716 0.690
Dy 0.974 0.594 0.190
Dy 0.310 0.784 0.404
Dy 0.094 0.904 0.120
Dy 0.594 0.974 0.690
Dy 0.716 0.596 0.190
Dy 0.784 0.474 0.380
Dy 0.810 0.906 0.026
Dy 0.120 0.716 0.526
Dy 0.380 0.406 0.096
Dy 0.096 0.906 0.380
Dy 0.404 0.120 0.594
Dy 0.096 0.190 0.216
Dy 0.474 0.690 0.094
Dy 0.810 0.904 0.284
Dy 0.120 0.404 0.094
Dy 0.380 0.974 0.784
Dy 0.594 0.620 0.404
Dy 0.906 0.810 0.526
Dy 0.784 0.310 0.904
Dy 0.406 0.380 0.596
Dy 0.094 0.190 0.474
Dy 0.216 0.690 0.096
Dy 0.190 0.096 0.716
Dy 0.620 0.026 0.216
Dy 0.880 0.596 0.906
Dy 0.526 0.310 0.906
Dy 0.596 0.880 0.406
Dy 0.904 0.810 0.784
Dy 0.904 0.094 0.620
Dy 0.880 0.284 0.474
Dy 0.190 0.094 0.974
Dy 0.620 0.594 0.904
Dy 0.406 0.026 0.310
Dy 0.284 0.404 0.810
Dy 0.216 0.526 0.620
Dy 0.906 0.096 0.880
Dy 0.690 0.216 0.596
Dy 0.474 0.784 0.880
Dy 0.026 0.406 0.810
Dy 0.404 0.284 0.310
Dy 0.026 0.620 0.716
Dy 0.690 0.474 0.594
Dy 0.284 0.880 0.974

Calculated values
calculated volume = 21.3 Å³ per atom
crystal system = cubic
density = 8.8 Mg/m³
calculated total energy = -102.83 eV per formula unit